LiRuPb2 | GGA-PBE | optimized geometry

Computed properties:
energy above the lowest structure with this stoichiometry	0.325	eV/atom
formation energy from the elements	0.433	eV/atom
E	-4.22	eV per atom
SG	I-42d (122)

The structure in CIF format:
```
data_LiRuPb2
_symmetry_space_group_name_H-M 'P 1'
_symmetry_Int_Tables_number 1
_cell_length_a 7.716
_cell_length_b 7.716
_cell_length_c 6.295
_cell_angle_alpha 52.21
_cell_angle_beta 52.21
_cell_angle_gamma 90.00
loop_
_symmetry_equiv_pos_as_xyz
'x,y,z'
loop_
_atom_site_label
_atom_site_type_symbol
_atom_site_fract_x
_atom_site_fract_y
_atom_site_fract_z
Pb1 Pb 0.100 0.625 0.250
Pb2 Pb 0.875 0.900 0.750
Pb3 Pb 0.650 0.125 0.250
Pb4 Pb 0.375 0.350 0.750
Li1 Li 0.250 0.750 0.500
Li2 Li 0.500 0.500 0.000
Ru1 Ru 0.000 0.000 0.000
Ru2 Ru 0.750 0.250 0.500
```

***

CaMgSc2Tc | GGA-PBE | optimized geometry

Computed properties:
formation energy from the elements	0.075	eV/atom
E	-5.25	eV per atom
SG	P4/mmm (123)

The structure in CIF format:
```
data_CaMgSc2Tc
_symmetry_space_group_name_H-M 'P 1'
_symmetry_Int_Tables_number 1
_cell_length_a 4.968
_cell_length_b 4.968
_cell_length_c 5.382
_cell_angle_alpha 90.00
_cell_angle_beta 90.00
_cell_angle_gamma 90.00
loop_
_symmetry_equiv_pos_as_xyz
'x,y,z'
loop_
_atom_site_label
_atom_site_type_symbol
_atom_site_fract_x
_atom_site_fract_y
_atom_site_fract_z
Mg1 Mg 0.000 0.000 0.500
Ca1 Ca 0.500 0.500 0.500
Sc1 Sc 0.500 0.000 0.000
Sc2 Sc 0.000 0.500 0.000
Tc1 Tc 0.000 0.000 0.000
```

***

Be5Fe | GGA-PBE | optimized geometry

Computed properties:
formation energy from the elements	-0.060	eV/atom
E	-4.58	eV per atom
SG	Cm (8)

The structure in CIF format:
```
data_Be5Fe
_symmetry_space_group_name_H-M 'P 1'
_symmetry_Int_Tables_number 1
_cell_length_a 4.247
_cell_length_b 4.247
_cell_length_c 5.219
_cell_angle_alpha 71.75
_cell_angle_beta 71.75
_cell_angle_gamma 34.09
loop_
_symmetry_equiv_pos_as_xyz
'x,y,z'
loop_
_atom_site_label
_atom_site_type_symbol
_atom_site_fract_x
_atom_site_fract_y
_atom_site_fract_z
Be1 Be 0.632 0.632 0.719
Be2 Be 0.306 0.306 0.388
Be3 Be 0.980 0.980 0.058
Be4 Be 0.639 0.639 0.231
Be5 Be 0.971 0.971 0.548
Fe1 Fe 0.305 0.305 0.889
```

***

SrLaCl2 | GGA-PBE | optimized geometry

Computed properties:
energy above the lowest structure with this stoichiometry	0.161	eV/atom
E	-3.99	eV per atom
raw formation energy	-1.419	eV/atom
SG	Pm (6)

The structure in CIF format:
```
data_SrLaCl2
_symmetry_space_group_name_H-M 'P 1'
_symmetry_Int_Tables_number 1
_cell_length_a 5.869
_cell_length_b 3.923
_cell_length_c 5.354
_cell_angle_alpha 77.23
_cell_angle_beta 90.00
_cell_angle_gamma 90.00
loop_
_symmetry_equiv_pos_as_xyz
'x,y,z'
loop_
_atom_site_label
_atom_site_type_symbol
_atom_site_fract_x
_atom_site_fract_y
_atom_site_fract_z
Cl1 Cl 0.500 0.282 0.289
Cl2 Cl 0.000 0.982 0.959
La1 La 0.000 0.341 0.404
Sr1 Sr 0.500 0.895 0.848
```

***

LiZrOs | GGA-PBE | optimized geometry

Computed properties:
energy above the lowest structure with this stoichiometry	0.010	eV/atom
formation energy from the elements	-0.012	eV/atom
E	-7.24	eV per atom
SG	I4mm (107)

The structure in CIF format:
```
data_LiZrOs
_symmetry_space_group_name_H-M 'P 1'
_symmetry_Int_Tables_number 1
_cell_length_a 4.924
_cell_length_b 4.924
_cell_length_c 4.924
_cell_angle_alpha 139.88
_cell_angle_beta 139.86
_cell_angle_gamma 58.05
loop_
_symmetry_equiv_pos_as_xyz
'x,y,z'
loop_
_atom_site_label
_atom_site_type_symbol
_atom_site_fract_x
_atom_site_fract_y
_atom_site_fract_z
Li1 Li 0.988 0.988 0.000
Os1 Os 0.337 0.337 0.000
Zr1 Zr 0.676 0.676 0.000
```

***

BaNb2Ge2 | GGA-PBE | optimized geometry

Computed properties:
formation energy from the elements	0.051	eV/atom
E	-6.21	eV per atom
SG	I4/mmm (139)

The structure in CIF format:
```
data_BaNb2Ge2
_symmetry_space_group_name_H-M 'P 1'
_symmetry_Int_Tables_number 1
_cell_length_a 5.036
_cell_length_b 5.036
_cell_length_c 5.894
_cell_angle_alpha 64.71
_cell_angle_beta 64.71
_cell_angle_gamma 90.00
loop_
_symmetry_equiv_pos_as_xyz
'x,y,z'
loop_
_atom_site_label
_atom_site_type_symbol
_atom_site_fract_x
_atom_site_fract_y
_atom_site_fract_z
Ge1 Ge 0.250 0.750 0.500
Ge2 Ge 0.750 0.250 0.500
Ba1 Ba 0.000 0.000 0.000
Nb1 Nb 0.358 0.358 0.285
Nb2 Nb 0.642 0.642 0.715
```

***

MgSiRu2 | GGA-PBE | optimized geometry

Computed properties:
E	-6.58	eV per atom
raw formation energy	-0.190	eV/atom
SG	R-3m (166)

The structure in CIF format:
```
data_MgSiRu2
_symmetry_space_group_name_H-M 'P 1'
_symmetry_Int_Tables_number 1
_cell_length_a 8.197
_cell_length_b 8.197
_cell_length_c 8.197
_cell_angle_alpha 20.40
_cell_angle_beta 20.40
_cell_angle_gamma 20.40
loop_
_symmetry_equiv_pos_as_xyz
'x,y,z'
loop_
_atom_site_label
_atom_site_type_symbol
_atom_site_fract_x
_atom_site_fract_y
_atom_site_fract_z
Ru1 Ru 0.990 0.990 0.990
Ru2 Ru 0.510 0.510 0.510
Mg1 Mg 0.750 0.750 0.750
Si1 Si 0.250 0.250 0.250
```

***

CrFe2Au | GGA-PBE | optimized geometry

Computed properties:
formation energy from the elements	0.232	eV/atom
E	-7.22	eV per atom
SG	Cm (8)

The structure in CIF format:
```
data_CrFe2Au
_symmetry_space_group_name_H-M 'P 1'
_symmetry_Int_Tables_number 1
_cell_length_a 4.613
_cell_length_b 4.613
_cell_length_c 4.604
_cell_angle_alpha 76.73
_cell_angle_beta 76.73
_cell_angle_gamma 35.45
loop_
_symmetry_equiv_pos_as_xyz
'x,y,z'
loop_
_atom_site_label
_atom_site_type_symbol
_atom_site_fract_x
_atom_site_fract_y
_atom_site_fract_z
Fe1 Fe 0.006 0.006 0.006
Fe2 Fe 0.737 0.737 0.768
Cr1 Cr 0.260 0.260 0.217
Au1 Au 0.497 0.497 0.509
```

***

ZnGaSb2Ru | GGA-PBE | optimized geometry

Computed properties:
E	-4.09	eV per atom
raw formation energy	0.278	eV/atom
SG	P4/mmm (123)

The structure in CIF format:
```
data_ZnGaSb2Ru
_symmetry_space_group_name_H-M 'P 1'
_symmetry_Int_Tables_number 1
_cell_length_a 5.150
_cell_length_b 4.783
_cell_length_c 5.150
_cell_angle_alpha 90.00
_cell_angle_beta 90.00
_cell_angle_gamma 90.00
loop_
_symmetry_equiv_pos_as_xyz
'x,y,z'
loop_
_atom_site_label
_atom_site_type_symbol
_atom_site_fract_x
_atom_site_fract_y
_atom_site_fract_z
Sb1 Sb 0.500 0.000 0.000
Sb2 Sb 0.000 0.000 0.500
Ru1 Ru 0.000 0.000 0.000
Zn1 Zn 0.500 0.500 0.500
Ga1 Ga 0.000 0.500 0.000
```

***

BaSrH3 | GGA-PBE | optimized geometry

Computed properties:
energy above the lowest structure with this stoichiometry	0.000	eV/atom
E	-3.17	eV per atom
SG	Pmc2_1 (26)

The structure in CIF format:
```
data_BaSrH3
_symmetry_space_group_name_H-M 'P 1'
_symmetry_Int_Tables_number 1
_cell_length_a 4.173
_cell_length_b 7.421
_cell_length_c 6.727
_cell_angle_alpha 90.00
_cell_angle_beta 90.00
_cell_angle_gamma 90.00
loop_
_symmetry_equiv_pos_as_xyz
'x,y,z'
loop_
_atom_site_label
_atom_site_type_symbol
_atom_site_fract_x
_atom_site_fract_y
_atom_site_fract_z
Ba1 Ba 0.000 0.648 0.293
Ba2 Ba 0.000 0.352 0.793
Sr1 Sr 0.500 0.158 0.325
Sr2 Sr 0.500 0.842 0.825
H1 H 0.000 0.310 0.404
H2 H 0.500 0.848 0.194
H3 H 0.500 0.152 0.694
H4 H 0.000 0.690 0.904
H5 H 0.500 0.440 0.088
H6 H 0.500 0.560 0.588
```

***

M_tot readings, ordered: 0.000 0.000 0.193 0.273 0.001 0.000 0.000 0.501 0.000 0.201 μB/atom